A relaxed structure of NiWSe, computed with PBE.

- space-group type = No. 107
- E_form (uncorrected) (eV per formula unit) = 0.73
- VASP energy (Ry/atom) = -0.52645
- distance to the lowest polymorph of the same formula (meV per atom) = 60
- density of states at the Fermi level (states/eV per cell) = 1.2

a = 5.038 Å, b = 5.038 Å, c = 5.038 Å
α = 144.44°, β = 144.44°, γ = 51.17°
Positions (direct):
Ni1 0.997 0.997 0.000
Se1 0.336 0.336 0.000
W1 0.668 0.668 0.000